# 1
A plane-wave DFT calculation with PBE-GGA was carried out for La4Pm3Dy5 after structural relaxation.

Calculated values
DOS(E_F) = 20.2 states/eV/cell
crystal system = monoclinic
total energy = -4.54 eV per atom

abc: 6.054 8.712 9.804
angles: 105.37 72.02 69.67
Each line ends with the local moment (μB).
Positions (direct):
La 0.859 0.227 0.056  0.00
La 0.171 0.041 0.617  0.00
La 0.829 0.959 0.383  0.00
La 0.141 0.773 0.944  0.00
Pm 0.521 0.690 0.267  0.00
Pm 0.000 0.500 0.500  0.08
Pm 0.479 0.310 0.733  0.00
Dy 0.629 0.942 0.801  0.01
Dy 0.500 0.500 0.500  0.11
Dy 0.214 0.456 0.115  0.00
Dy 0.786 0.544 0.885  0.00
Dy 0.371 0.058 0.199  0.01

# 2
A plane-wave DFT calculation with PBE-GGA was carried out for CsKBe2Cl6 after structural relaxation.

Calculated values
DOS(E_F) = 0.0 states/eV/cell
crystal system = monoclinic
total energy = -3.72 eV per atom

abc: 8.892 8.892 9.392
angles: 103.93 103.93 98.39
Positions (direct):
Cs 0.150 0.850 0.250
Cs 0.850 0.150 0.750
K 0.589 0.411 0.250
K 0.411 0.589 0.750
Be 0.367 0.135 0.713
Be 0.865 0.633 0.787
Be 0.633 0.865 0.287
Be 0.135 0.367 0.213
Cl 0.925 0.403 0.154
Cl 0.597 0.075 0.346
Cl 0.075 0.597 0.846
Cl 0.403 0.925 0.654
Cl 0.195 0.189 0.095
Cl 0.811 0.805 0.405
Cl 0.805 0.811 0.905
Cl 0.189 0.195 0.595
Cl 0.296 0.522 0.381
Cl 0.478 0.704 0.119
Cl 0.704 0.478 0.619
Cl 0.522 0.296 0.881

# 3
A plane-wave DFT calculation with PBE-GGA was carried out for MgIn3 after structural relaxation.

Calculated values
DOS(E_F) = 9.5 states/eV/cell
crystal system = hexagonal
total energy = -2.43 eV per atom

abc: 8.574 8.574 9.976
angles: 90.00 90.00 120.00
Positions (direct):
In 0.375 0.000 0.392
In 0.000 0.375 0.392
In 0.625 0.625 0.392
In 0.625 0.000 0.892
In 0.000 0.625 0.892
In 0.375 0.375 0.892
In 0.736 0.000 0.233
In 0.000 0.736 0.233
In 0.264 0.264 0.233
In 0.264 0.000 0.733
In 0.000 0.264 0.733
In 0.736 0.736 0.733
In 0.333 0.667 0.177
In 0.667 0.333 0.677
In 0.333 0.667 0.677
In 0.667 0.333 0.177
In 0.000 0.000 0.975
In 0.000 0.000 0.475
Mg 0.338 0.000 0.059
Mg 0.000 0.338 0.059
Mg 0.662 0.662 0.059
Mg 0.662 0.000 0.559
Mg 0.000 0.662 0.559
Mg 0.338 0.338 0.559

# 4
A plane-wave DFT calculation with PBE-GGA was carried out for ScMoOs2 after structural relaxation.

Calculated values
DOS(E_F) = 4.0 states/eV/cell
crystal system = orthorhombic
total energy = -9.84 eV per atom

abc: 3.100 4.618 4.390
angles: 90.00 90.00 90.00
Positions (direct):
Mo 0.000 0.500 0.500
Os 0.000 0.000 0.000
Os 0.500 0.500 0.000
Sc 0.500 0.000 0.500

# 5
A plane-wave DFT calculation with PBE-GGA was carried out for CeYGeIr after structural relaxation.

Calculated values
DOS(E_F) = 4.6 states/eV/cell
crystal system = cubic
energy relative to the lowest polymorph listed for this composition = 0.1856 eV/atom
total energy = -7.09 eV per atom

abc: 5.012 5.012 5.012
angles: 60.00 60.00 60.00
Each line ends with the local moment (μB).
Positions (direct):
Y 0.000 0.000 0.000  0.01
Ge 0.250 0.250 0.250  -0.01
Ir 0.750 0.750 0.750  -0.05
Ce 0.500 0.500 0.500  0.25

# 6
A plane-wave DFT calculation with PBE-GGA was carried out for Gd2YHg after structural relaxation.

Calculated values
DOS(E_F) = 5.4 states/eV/cell
crystal system = trigonal
energy relative to the lowest polymorph listed for this composition = 0.3304 eV/atom
total energy = -8.63 eV per atom

abc: 3.533 3.533 12.190
angles: 81.67 81.67 60.00
Each line ends with the local moment (μB).
Positions (direct):
Y 0.500 0.500 0.500  -0.10
Gd 0.088 0.088 0.736  7.23
Gd 0.912 0.912 0.264  7.23
Hg 0.000 0.000 0.000  0.04

# 7
A plane-wave DFT calculation with PBE-GGA was carried out for Ba2GaBi3 after structural relaxation.

Calculated values
DOS(E_F) = 3.9 states/eV/cell
crystal system = monoclinic
energy relative to the lowest polymorph listed for this composition = 0.1377 eV/atom
total energy = -3.54 eV per atom

abc: 7.331 10.799 7.435
angles: 107.27 119.54 90.00
Positions (direct):
Ba 0.701 0.583 0.374
Ba 0.674 0.083 0.374
Ba 0.326 0.917 0.626
Ba 0.299 0.417 0.626
Ga 0.840 0.750 0.000
Ga 0.160 0.250 0.000
Bi 0.534 0.250 0.000
Bi 0.466 0.750 0.000
Bi 0.104 0.093 0.235
Bi 0.869 0.407 0.765
Bi 0.131 0.593 0.235
Bi 0.896 0.907 0.765

# 8
A plane-wave DFT calculation with PBE-GGA was carried out for Zr2ScSb after structural relaxation.

Calculated values
DOS(E_F) = 5.3 states/eV/cell
crystal system = tetragonal
total energy = -6.89 eV per atom

abc: 8.254 8.254 6.524
angles: 50.76 50.76 90.00
Positions (direct):
Sc 0.500 0.500 0.000
Sc 0.250 0.750 0.500
Sb 0.000 0.000 0.000
Sb 0.750 0.250 0.500
Zr 0.653 0.125 0.250
Zr 0.097 0.625 0.250
Zr 0.375 0.347 0.750
Zr 0.875 0.903 0.750

# 9
A plane-wave DFT calculation with PBE-GGA was carried out for Sc2InCo after structural relaxation.

Calculated values
DOS(E_F) = 2.3 states/eV/cell
crystal system = orthorhombic
total energy = -5.89 eV per atom

abc: 5.196 5.196 4.958
angles: 61.52 61.52 41.82
Positions (direct):
Co 0.750 0.750 0.750
In 0.250 0.250 0.250
Sc 0.044 0.044 0.956
Sc 0.456 0.456 0.544

# 10
A plane-wave DFT calculation with PBE-GGA was carried out for Ce2ZnRe after structural relaxation.

Calculated values
DOS(E_F) = 8.3 states/eV/cell
crystal system = trigonal
total energy = -5.99 eV per atom

abc: 3.061 3.061 11.087
angles: 82.06 82.06 60.00
Positions (direct):
Re 0.500 0.500 0.500
Zn 0.000 0.000 0.000
Ce 0.096 0.096 0.712
Ce 0.904 0.904 0.288

# 11
A plane-wave DFT calculation with PBE-GGA was carried out for RuPt2Cl after structural relaxation.

Calculated values
DOS(E_F) = 5.2 states/eV/cell
crystal system = tetragonal
energy relative to the lowest polymorph listed for this composition = 0.5244 eV/atom
total energy = -5.04 eV per atom

abc: 4.858 4.858 2.737
angles: 90.00 90.00 90.00
Each line ends with the local moment (μB).
Positions (direct):
Cl 0.000 0.500 0.500  0.05
Pt 0.000 0.000 0.000  0.16
Pt 0.500 0.500 0.000  0.16
Ru 0.500 0.000 0.500  0.94

# 12
A plane-wave DFT calculation with PBE-GGA was carried out for TiNb3 after structural relaxation.

Calculated values
DOS(E_F) = 8.1 states/eV/cell
crystal system = cubic
energy relative to the lowest polymorph listed for this composition = 0.0053 eV/atom
total energy = -9.51 eV per atom

abc: 4.657 4.657 4.657
angles: 60.00 60.00 60.00
Positions (direct):
Nb 0.000 0.000 0.000
Nb 0.750 0.750 0.750
Nb 0.250 0.250 0.250
Ti 0.500 0.500 0.500

# 13
A plane-wave DFT calculation with PBE-GGA was carried out for FeTc after structural relaxation.

Calculated values
DOS(E_F) = 5.6 states/eV/cell
crystal system = hexagonal
total energy = -8.75 eV per atom

abc: 3.657 3.657 4.804
angles: 90.00 90.00 120.00
Positions (direct):
Fe 0.000 0.000 0.000
Fe 0.000 0.000 0.500
Tc 0.333 0.667 0.250
Tc 0.667 0.333 0.750

# 14
A plane-wave DFT calculation with PBE-GGA was carried out for CaCeEu after structural relaxation.

Calculated values
DOS(E_F) = 7.5 states/eV/cell
crystal system = trigonal
energy relative to the lowest polymorph listed for this composition = 0.0000 eV/atom
total energy = -5.89 eV per atom

abc: 3.696 3.696 9.377
angles: 90.00 90.00 120.00
Each line ends with the local moment (μB).
Positions (direct):
Eu 0.667 0.333 0.324  6.99
Ca 0.333 0.667 0.674  -0.03
Ce 0.000 0.000 0.002  -0.93

# 15
A plane-wave DFT calculation with PBE-GGA was carried out for BaBeV after structural relaxation.

Calculated values
DOS(E_F) = 5.1 states/eV/cell
crystal system = triclinic
energy relative to the lowest polymorph listed for this composition = 0.0032 eV/atom
total energy = -4.58 eV per atom

abc: 3.372 3.741 11.206
angles: 99.41 97.03 90.00
Positions (direct):
Be 0.156 0.855 0.622
Be 0.614 0.797 0.504
Ba 0.954 0.978 0.889
Ba 0.817 0.675 0.236
V 0.630 0.366 0.644
V 0.140 0.287 0.482

# 16
A plane-wave DFT calculation with PBE-GGA was carried out for Li3Zr2NpN6 after structural relaxation.

Calculated values
crystal system = monoclinic
total energy = -8.22 eV per atom

abc: 5.702 5.702 5.446
angles: 100.00 100.00 120.03
Positions (direct):
Li 0.159 0.841 0.500
Li 0.841 0.159 0.500
Li 0.500 0.500 0.500
Zr 0.333 0.667 0.000
Zr 0.667 0.333 0.000
Np 0.000 0.000 0.000
N 0.928 0.611 0.785
N 0.753 0.753 0.215
N 0.072 0.389 0.215
N 0.611 0.928 0.785
N 0.247 0.247 0.785
N 0.389 0.072 0.215

# 17
A plane-wave DFT calculation with PBE-GGA was carried out for Ti6Al5Zn after structural relaxation.

Calculated values
DOS(E_F) = 13.4 states/eV/cell
crystal system = monoclinic
total energy = -5.98 eV per atom

abc: 3.975 8.158 6.266
angles: 90.00 71.58 90.00
Positions (direct):
Zn 0.000 0.000 0.000
Al 0.667 0.500 0.666
Al 0.335 0.000 0.331
Al 0.000 0.500 0.000
Al 0.665 0.000 0.669
Al 0.333 0.500 0.334
Ti 0.833 0.751 0.334
Ti 0.833 0.249 0.334
Ti 0.500 0.252 0.000
Ti 0.500 0.748 0.000
Ti 0.167 0.751 0.666
Ti 0.167 0.249 0.666

# 18
A plane-wave DFT calculation with PBE-GGA was carried out for LaYW2 after structural relaxation.

Calculated values
DOS(E_F) = 5.2 states/eV/cell
crystal system = monoclinic
energy relative to the lowest polymorph listed for this composition = 0.5614 eV/atom
total energy = -8.47 eV per atom

abc: 5.873 5.713 3.001
angles: 79.24 80.52 116.02
Positions (direct):
La 0.500 0.000 0.500
W 0.000 0.000 0.000
W 0.000 0.500 0.500
Y 0.500 0.500 0.000

# 19
A plane-wave DFT calculation with PBE-GGA was carried out for Tb4GaCu3 after structural relaxation.

Calculated values
DOS(E_F) = 4.5 states/eV/cell
crystal system = trigonal
energy relative to the lowest polymorph listed for this composition = 0.0000 eV/atom
total energy = -4.55 eV per atom

abc: 4.967 4.967 8.615
angles: 73.25 73.25 60.00
Positions (direct):
Tb 0.873 0.873 0.382
Tb 0.378 0.378 0.866
Tb 0.127 0.127 0.618
Tb 0.622 0.622 0.134
Cu 0.253 0.253 0.240
Cu 0.747 0.747 0.760
Cu 0.500 0.500 0.500
Ga 0.000 0.000 0.000

# 20
A plane-wave DFT calculation with PBE-GGA was carried out for TbPuAu after structural relaxation.

Calculated values
DOS(E_F) = 15.5 states/eV/cell
crystal system = monoclinic
energy relative to the lowest polymorph listed for this composition = 0.1380 eV/atom
total energy = -7.60 eV per atom

abc: 5.135 5.135 6.707
angles: 76.34 76.34 100.09
Each line ends with the local moment (μB).
Positions (direct):
Au 0.829 0.829 0.738  0.01
Au 0.171 0.171 0.262  0.01
Pu 0.325 0.675 0.500  5.56
Pu 0.675 0.325 0.500  5.56
Tb 0.245 0.755 0.000  0.07
Tb 0.755 0.245 0.000  0.07